An optimized crystal structure of LiAcMnSe3. Source: the Alexandria database, functional PBE.

D(E_F)   0.3 states/eV per cell
Calculated density   6.03 g/cm³
DFT total energy   -5.526 eV/atom

abc: 7.9913 4.1774 9.0566
angles: 90.00 106.67 90.00
Last column: nearest neighbours and their distance in Å.
Space group P2_1/m (No. 11)
Asymmetric unit:
Li1 0.1041 0.2500 0.1009 (multiplicity 2)  4 Se 2.48-2.64
Ac1 0.2142 0.2500 0.7470 (multiplicity 2)  7 Se 3.10-3.25
Mn1 0.3244 0.7500 0.3494 (multiplicity 2)  6 Se 2.65-2.84
Se1 0.0976 0.2500 0.3727 (multiplicity 2)  1 Li 2.48
Se2 0.2374 0.7500 0.0229 (multiplicity 2)  3 Li 2.54-2.64, 1 Mn 2.84
Se3 0.4519 0.7500 0.6531 (multiplicity 2)  3 Mn 2.65-2.75